# 1
A relaxed structure of Zn2SiPt2. Source: Alexandria via LeMat-Bulk, functional PBE.

Properties
energy relative to the elements, uncorrected: -391 meV per atom
excess energy over the best structure of this formula in the dataset: 0.000 eV/f.u.
crystal system: tetragonal
space-group type: P4/mbm (127)

Cell lengths 6.3963, 6.3963, 3.8728 Å; angles 90.00, 90.00, 90.00 degrees
With the nearest neighbours (Å) after each atom.
Sites, in units of the cell vectors:
1 Zn 0.1464 0.3536 0.0000  6 Pt 2.61-2.75, 1 Zn 2.65
2 Zn 0.3536 0.8536 0.0000  6 Pt 2.61-2.75, 1 Zn 2.65
3 Zn 0.6464 0.1464 0.0000  6 Pt 2.61-2.75, 1 Zn 2.65
4 Zn 0.8536 0.6464 0.0000  6 Pt 2.61-2.75, 1 Zn 2.65
5 Si 0.0000 0.0000 0.5000  4 Pt 2.40
6 Si 0.5000 0.5000 0.5000  4 Pt 2.40
7 Pt 0.1596 0.6596 0.5000  2 Si 2.40, 2 Zn 2.61
8 Pt 0.3404 0.1596 0.5000  2 Si 2.40, 2 Zn 2.61
9 Pt 0.6596 0.8404 0.5000  2 Si 2.40, 2 Zn 2.61
10 Pt 0.8404 0.3404 0.5000  2 Si 2.40, 2 Zn 2.61


# 2
A relaxed structure of Zn4SiPt. Source: Alexandria via LeMat-Bulk, functional PBE.

Properties
energy relative to the elements, uncorrected: 26 meV per atom
crystal system: cubic
space-group type: F-43m (216)

Cell lengths 5.0229, 5.0229, 5.0229 Å; angles 60.00, 60.00, 60.00 degrees
With the nearest neighbours (Å) after each atom.
Sites, in units of the cell vectors:
1 Zn 0.1244 0.1244 0.1244  6 Zn 2.50-2.52
2 Zn 0.1244 0.1244 0.6267  6 Zn 2.50-2.52
3 Zn 0.1244 0.6267 0.1244  6 Zn 2.50-2.52
4 Zn 0.6267 0.1244 0.1244  6 Zn 2.50-2.52
5 Si 0.5000 0.5000 0.5000  12 Zn 2.95, 4 Pt 3.08
6 Pt 0.7500 0.7500 0.7500  12 Zn 2.94, 4 Si 3.08


# 3
A relaxed structure of Zn2SiPt. Source: Alexandria via LeMat-Bulk, functional PBE.

Properties
energy relative to the elements, uncorrected: -166 meV per atom
crystal system: monoclinic
space-group type: C2/m (12)

Cell lengths 4.8655, 4.8655, 4.3760 Å; angles 94.97, 94.97, 34.77 degrees
With the nearest neighbours (Å) after each atom.
Sites, in units of the cell vectors:
1 Zn 0.2441 0.2441 0.2503  3 Si 2.60-2.91, 6 Zn 2.62-2.91, 3 Pt 2.71-2.83
2 Zn 0.7559 0.7559 0.7497  3 Si 2.60-2.91, 6 Zn 2.62-2.91, 3 Pt 2.71-2.83
3 Si 0.0000 0.0000 0.5000  6 Zn 2.60-2.91, 4 Pt 2.63, 2 Si 2.91
4 Pt 0.5000 0.5000 0.0000  4 Si 2.63, 6 Zn 2.71-2.83, 2 Pt 2.91


no.,mass density (g/cm³),V (Å³/atom)
1,11.5,15.845
2,9.0,14.934
3,10.0,14.707